(1)
Computed, not measured: a geometry-optimized PrGaAs2O8 structure at the GGA-PBE level of DFT.

Computed properties:
crystal system	trigonal
E_form (uncorrected)	-1.78	eV per atom

Unit cell a=5.390 b=5.390 c=6.807 alpha=90.00 beta=90.00 gamma=120.00
Sites, in units of the cell vectors:
1 Pr 0.000 0.000 0.500
2 Ga 0.000 0.000 0.000
3 As 0.333 0.667 0.735
4 As 0.667 0.333 0.265
5 O 0.157 0.314 0.806
6 O 0.157 0.843 0.806
7 O 0.686 0.843 0.806
8 O 0.314 0.157 0.194
9 O 0.667 0.333 0.514
10 O 0.333 0.667 0.486
11 O 0.843 0.686 0.194
12 O 0.843 0.157 0.194

=====

(2)
Computed, not measured: a geometry-optimized Sr2H6Pt structure at the GGA-PBE level of DFT.

Computed properties:
crystal system	orthorhombic
E_tot	-3.87	eV per atom

Unit cell a=7.404 b=7.404 c=5.601 alpha=90.00 beta=90.00 gamma=135.54
Sites, in units of the cell vectors:
1 Sr 0.646 0.354 0.000
2 Sr 0.354 0.646 0.000
3 Sr 0.854 0.146 0.500
4 Sr 0.146 0.854 0.500
5 H 0.878 0.122 0.000
6 H 0.122 0.878 0.000
7 H 0.622 0.378 0.500
8 H 0.378 0.622 0.500
9 H 0.000 0.500 0.250
10 H 0.000 0.500 0.750
11 H 0.500 0.000 0.750
12 H 0.500 0.000 0.250
13 H 0.216 0.216 0.216
14 H 0.784 0.784 0.784
15 H 0.284 0.284 0.716
16 H 0.716 0.716 0.284
17 Pt 0.000 0.000 0.000
18 Pt 0.500 0.500 0.500